1.
! Al3Zn3Pb, relaxed, DFT PBE; values from VASP
! Crystal system: cubic
! Size of the total moment (Bohr magnetons per cell): 0.00
! VASP energy (Ry per atom): -0.1604
&SYSTEM
  ibrav = 0, nat = 14, ntyp = 3
/
ATOMIC_SPECIES
Al 26.98 Al.upf
Zn 65.41 Zn.upf
Pb 207.20 Pb.upf
ATOMIC_POSITIONS crystal
Al 0.500 0.000 0.250
Al 0.000 0.250 0.500
Al 0.750 0.500 0.000
Al 0.000 0.750 0.500
Al 0.500 0.000 0.750
Al 0.250 0.500 0.000
Zn 0.250 0.000 0.500
Zn 0.500 0.750 0.000
Zn 0.500 0.250 0.000
Zn 0.000 0.500 0.750
Zn 0.750 0.000 0.500
Zn 0.000 0.500 0.250
Pb 0.500 0.500 0.500
Pb 0.000 0.000 0.000
CELL_PARAMETERS angstrom
-5.304 -2.626 -3.811
-3.259 -1.997 5.912
-3.287 6.219 0.289


2.
! AlZnPb4, relaxed, DFT PBE; values from VASP
! Crystal system: cubic
! Size of the total moment (Bohr magnetons per cell): 0.00
! VASP energy (Ry per atom): -0.2117
&SYSTEM
  ibrav = 0, nat = 6, ntyp = 3
/
ATOMIC_SPECIES
Pb 207.20 Pb.upf
Zn 65.41 Zn.upf
Al 26.98 Al.upf
ATOMIC_POSITIONS crystal
Pb 0.375 0.875 0.375
Pb 0.375 0.375 0.375
Pb 0.875 0.375 0.375
Pb 0.375 0.375 0.875
Zn 0.750 0.750 0.750
Al 0.000 0.000 0.000
CELL_PARAMETERS angstrom
0.584 -1.441 6.250
0.402 4.716 4.368
-4.907 1.086 4.027


3.
! Al2Zn2Pb, relaxed, DFT PBE; values from VASP
! Crystal system: tetragonal
! ΔE to the lowest computed polymorph (eV/f.u.): 4.08
! Size of the total moment (Bohr magnetons per cell): 0.00
&SYSTEM
  ibrav = 0, nat = 5, ntyp = 3
/
ATOMIC_SPECIES
Al 26.98 Al.upf
Pb 207.20 Pb.upf
Zn 65.41 Zn.upf
ATOMIC_POSITIONS crystal
Al 0.500 0.500 0.500
Al 0.000 0.000 0.500
Pb 0.000 0.000 0.000
Zn 0.000 0.500 0.000
Zn 0.500 0.000 0.000
CELL_PARAMETERS angstrom
5.224 0.000 0.000
0.000 5.224 0.000
0.000 0.000 5.558


4.
! Al3ZnPb, relaxed, DFT PBE; values from VASP
! Crystal system: cubic
! ΔE to the lowest computed polymorph (eV/f.u.): 3.10
! Size of the total moment (Bohr magnetons per cell): 0.00
&SYSTEM
  ibrav = 0, nat = 5, ntyp = 3
/
ATOMIC_SPECIES
Al 26.98 Al.upf
Zn 65.41 Zn.upf
Pb 207.20 Pb.upf
ATOMIC_POSITIONS crystal
Al 0.500 0.000 0.000
Al 0.000 0.500 0.000
Al 0.000 0.000 0.500
Zn 0.500 0.500 0.500
Pb 0.000 0.000 0.000
CELL_PARAMETERS angstrom
5.470 0.000 0.000
0.000 5.470 0.000
0.000 0.000 5.470